Ag2SnSb2 | PBE | relaxed

abc: 3.9745 3.9745 15.8589
angles: 90.00 90.00 90.00
Closest atoms and distances in Å follow each position.
Space group I4/mmm (No. 139)
Symmetry-distinct sites (fractional):
Ag  0.0000  0.5000  0.2500 [4 per cell]  4 Ag 2.81, 4 Sb 2.96
Sn  0.0000  0.0000  0.0000 [2 per cell]  8 Sb 3.32
Sb  0.0000  0.0000  0.3887 [4 per cell]  4 Ag 2.96, 4 Sn 3.32

Results
formation energy without anion corrections = 133.2 meV/atom
magnetization = 0.0 Bohr magnetons per cell
VASP energy = -3.457 eV/atom
volume = 250.5 Å³/cell

---

MgIr2Au | PBE | relaxed

abc: 2.8093 2.8093 27.7502
angles: 90.00 90.00 120.00
Closest atoms and distances in Å follow each position.
Space group R-3m (No. 166, hexagonal axes)
Symmetry-distinct sites (fractional):
Mg  0.0000  0.0000  0.0000 [3 per cell]  6 Ir 2.73, 6 Mg 2.81
Ir  0.0000  0.0000  0.2544 [6 per cell]  3 Mg 2.73, 6 Ir 2.81, 3 Au 2.92
Au  0.0000  0.0000  0.5000 [3 per cell]  6 Au 2.81, 6 Ir 2.92

Results
formation enthalpy at 0 K = 0.065 eV per atom
magnetization = 0.0 Bohr magnetons per cell
VASP energy = -5.583 eV/atom
volume = 189.7 Å³/cell

---

Mg2NiSb | PBE | relaxed

abc: 3.2781 3.8623 6.0019
angles: 90.00 90.00 90.00
Closest atoms and distances in Å follow each position.
Space group Pmm2 (No. 25)
Symmetry-distinct sites (fractional):
Mg  0.0000  0.0000  0.0000 [1 per cell]  2 Ni 2.84-3.16, 4 Mg 3.00, 4 Sb 3.02
Mg  0.5000  0.5000  0.2689 [1 per cell]  1 Sb 2.74, 4 Ni 2.81, 4 Mg 3.00
Ni  0.0000  0.0000  0.4733 [1 per cell]  5 Mg 2.81-2.84, 4 Sb 2.95
Sb  0.5000  0.5000  0.7251 [1 per cell]  5 Mg 2.74-3.02, 4 Ni 2.95

Results
formation energy without anion corrections = -31.5 meV/atom
magnetization = 0.0 Bohr magnetons per cell
VASP energy = -3.305 eV/atom
volume = 76.0 Å³/cell